Material: Nd2Ho2CBr3Cl2
Method: DFT, PBE
State: optimized geometry

distance to the lowest polymorph of the same formula = 0 meV per atom
space-group type = C2/m, No. 12
VASP energy = -5.196 eV per atom

Lattice parameters (Å, degrees): 8.913 8.913 8.482 102.12 102.12 25.10
Atoms (fractional coordinates):
1 Cl 0.175 0.175 0.866
2 Cl 0.825 0.825 0.134
3 Nd 0.997 0.997 0.204
4 Nd 0.003 0.003 0.796
5 C 0.500 0.500 0.000
6 Ho 0.359 0.359 0.930
7 Ho 0.641 0.641 0.070
8 Br 0.500 0.500 0.500
9 Br 0.828 0.828 0.679
10 Br 0.172 0.172 0.321